(1)
This record from Alexandria via LeMat-Bulk describes an optimized crystal structure of Nd2FeH6Pd. The functional is GGA-PBE.

```
10
Lattice="-2.619 2.619 3.683 2.619 -2.619 3.683 2.619 2.619 -3.683" Properties=species:S:1:pos:R:3 pbc="T T T"
Nd 2.619 0.000 1.841
Nd 0.000 2.619 1.841
Fe 0.000 0.000 0.000
H 0.000 0.000 1.665
H 1.182 1.182 0.000
H 1.438 -1.438 3.683
H -1.438 1.438 3.683
H 0.000 0.000 5.701
H 1.438 1.438 3.683
Pd 0.000 0.000 3.683
```

Summary:
**DFT total energy**: -4.792 eV/atom

(2)
This record from Alexandria via LeMat-Bulk describes an optimized crystal structure of TaP. The functional is GGA-PBE.

```
12
Lattice="6.833 0.000 0.000 0.000 6.833 0.000 0.000 0.000 6.833" Properties=species:S:1:pos:R:3 pbc="T T T"
Ta 0.000 1.708 3.417
Ta 0.000 5.125 3.417
Ta 1.708 3.417 0.000
Ta 3.417 0.000 1.708
Ta 3.417 0.000 5.125
Ta 5.125 3.417 0.000
P 0.000 3.417 1.708
P 0.000 3.417 5.125
P 1.708 0.000 3.417
P 3.417 1.708 0.000
P 3.417 5.125 0.000
P 5.125 0.000 3.417
```

Summary:
**ΔE_f**: 0.50 eV/f.u.

(3)
This record from Alexandria via LeMat-Bulk describes an optimized crystal structure of Y2Zn2BRh4. The functional is GGA-PBE.

```
9
Lattice="-3.030 3.030 3.903 3.030 -3.030 3.903 3.030 3.030 -3.903" Properties=species:S:1:pos:R:3 pbc="T T T"
Y 3.030 0.000 1.952
Y 0.000 3.030 1.952
Zn 0.000 0.000 1.604
Zn 0.000 0.000 6.203
B 0.000 0.000 3.903
Rh 1.539 1.539 0.000
Rh 1.491 -1.491 3.903
Rh -1.491 1.491 3.903
Rh 1.491 1.491 3.903
```

Summary:
**ΔE_f**: -6.03 eV/f.u.

(4)
This record from Alexandria via LeMat-Bulk describes an optimized crystal structure of CaCr2Pt. The functional is GGA-PBE.

```
8
Lattice="-2.083 2.083 9.351 2.083 -2.083 9.351 2.083 2.083 -9.351" Properties=species:S:1:pos:R:3 pbc="T T T"
Ca 0.000 0.000 0.000
Ca 0.000 2.083 4.675
Cr 1.042 1.955 -2.338
Cr 2.212 1.042 2.338
Cr 1.042 0.128 7.013
Cr -0.128 1.042 11.688
Pt 2.083 0.000 4.675
Pt 0.000 0.000 9.351
```

Summary:
**ΔE_f**: 2.17 eV/f.u.

Number 1: total magnetization 0.000 μB/atom, theoretical density 7.506 g/cm³. Number 2: total magnetization 0.000 μB/atom, theoretical density 6.617 g/cm³. Number 3: total magnetization 0.000 μB/atom, theoretical density 8.471 g/cm³. Number 4: total magnetization 0.000 μB/atom, theoretical density 6.940 g/cm³.